(1)
This record from the Alexandria database describes crystalline TmNi4Rh at its relaxed geometry. The functional is GGA-PBE.

abc: 4.851 4.851 4.851
angles: 60.00 60.00 60.00
Site moments in Bohr magnetons follow the coordinates.
Sites, in units of the cell vectors:
Ni 0.624 0.624 0.127  0.38
Ni 0.624 0.127 0.624  0.38
Ni 0.624 0.624 0.624  0.38
Ni 0.127 0.624 0.624  0.38
Tm 0.000 0.000 0.000  -0.07
Rh 0.250 0.250 0.250  0.27

Calculated values
- ΔE to the lowest computed polymorph: 0.000 eV/atom
- E_form: -305 meV per atom
- SG: F-43m (216)

(2)
This record from the Alexandria database describes crystalline KBaMo2 at its relaxed geometry. The functional is GGA-PBE.

abc: 3.292 3.292 11.745
angles: 90.00 90.00 116.54
Sites, in units of the cell vectors:
Ba 0.000 0.000 0.445
K 0.500 0.500 0.795
Mo 0.000 0.000 0.059
Mo 0.500 0.500 0.201

Calculated values
- ΔE to the lowest computed polymorph: 0.189 eV/atom
- E_form: 962 meV per atom
- SG: Cmm2 (35)

(3)
This record from the Alexandria database describes crystalline Ce3USb4 at its relaxed geometry. The functional is GGA-PBE.

abc: 6.324 6.325 7.722
angles: 113.41 114.24 90.52
Site moments in Bohr magnetons follow the coordinates.
Sites, in units of the cell vectors:
Sb 0.000 0.500 0.000  -0.05
Sb 0.500 0.000 0.000  -0.05
Sb 0.246 0.248 0.493  -0.04
Sb 0.754 0.752 0.507  -0.04
U 0.000 0.000 0.000  2.52
Ce 0.500 0.500 0.000  0.81
Ce 0.749 0.248 0.500  0.78
Ce 0.251 0.752 0.500  0.79

Calculated values
- Formation energy (no corrections): -0.81 eV/atom
- SG: P-1 (2)

(4)
This record from the Alexandria database describes crystalline Dy2Ho6Er3Pb at its relaxed geometry. The functional is GGA-PBE.

abc: 6.055 6.055 11.618
angles: 95.01 95.01 120.03
Sites, in units of the cell vectors:
Dy 0.334 0.666 0.000
Dy 0.666 0.334 0.000
Ho 0.917 0.588 0.750
Ho 0.753 0.753 0.251
Ho 0.083 0.412 0.250
Ho 0.588 0.917 0.750
Ho 0.247 0.247 0.749
Ho 0.412 0.083 0.250
Er 0.167 0.833 0.500
Er 0.833 0.167 0.500
Er 0.500 0.500 0.500
Pb 0.000 0.000 0.000

Calculated values
- E_form: -50 meV per atom
- SG: C2/m (12)

(5)
This record from the Alexandria database describes crystalline Sc2MnRe2 at its relaxed geometry. The functional is GGA-PBE.

abc: 6.251 6.251 4.504
angles: 90.00 90.00 90.00
Sites, in units of the cell vectors:
Sc 0.174 0.674 0.500
Sc 0.674 0.826 0.500
Sc 0.826 0.326 0.500
Sc 0.326 0.174 0.500
Re 0.358 0.858 0.000
Re 0.858 0.642 0.000
Re 0.642 0.142 0.000
Re 0.142 0.358 0.000
Mn 0.000 0.000 0.000
Mn 0.500 0.500 0.000

Calculated values
- E_form: 74 meV per atom
- SG: P4/mbm (127)

(6)
This record from the Alexandria database describes crystalline HOsNO at its relaxed geometry. The functional is GGA-PBE.

abc: 3.314 4.286 3.321
angles: 90.00 119.90 90.00
Sites, in units of the cell vectors:
H 0.264 0.500 0.458
Os 0.481 0.000 0.893
N 0.145 0.000 0.221
O 0.434 0.500 0.798

Calculated values
- ΔE to the lowest computed polymorph: 0.082 eV/atom
- SG: Amm2 (38)

(7)
This record from the Alexandria database describes crystalline TaTcHg2 at its relaxed geometry. The functional is GGA-PBE.

abc: 4.031 4.031 4.485
angles: 90.00 90.00 90.00
Sites, in units of the cell vectors:
Hg 0.000 0.000 0.000
Hg 0.500 0.500 0.000
Ta 0.500 0.000 0.500
Tc 0.000 0.500 0.500

Calculated values
- ΔE to the lowest computed polymorph: 0.274 eV/atom
- E_form: 500 meV per atom
- SG: P4/mmm (123)

(8)
This record from the Alexandria database describes crystalline CeHgF6 at its relaxed geometry. The functional is GGA-PBE.

abc: 3.647 6.060 6.060
angles: 107.38 90.00 90.00
Sites, in units of the cell vectors:
Ce 0.000 0.981 0.019
Hg 0.500 0.525 0.475
F 0.000 0.617 0.799
F 0.000 0.201 0.383
F 0.000 0.655 0.345
F 0.500 0.921 0.747
F 0.500 0.253 0.079
F 0.500 0.847 0.153

Calculated values
- Formation energy (no corrections): -2.75 eV/atom
- SG: Amm2 (38)

(9)
This record from the Alexandria database describes crystalline HfMnCr2 at its relaxed geometry. The functional is GGA-PBE.

abc: 4.239 4.239 4.239
angles: 60.00 60.00 60.00
Sites, in units of the cell vectors:
Cr 0.250 0.250 0.250
Cr 0.750 0.750 0.750
Mn 0.000 0.000 0.000
Hf 0.500 0.500 0.500

Calculated values
- ΔE to the lowest computed polymorph: 0.000 eV/atom
- E_form: 187 meV per atom
- SG: Fm-3m (225)

(10)
This record from the Alexandria database describes crystalline HoTm7Tl2 at its relaxed geometry. The functional is GGA-PBE.

abc: 5.244 8.943 8.943
angles: 119.08 90.00 90.00
Sites, in units of the cell vectors:
Ho 0.000 0.000 0.000
Tm 0.000 0.776 0.224
Tm 0.000 0.224 0.776
Tm 0.500 0.062 0.301
Tm 0.500 0.938 0.699
Tm 0.500 0.301 0.062
Tm 0.500 0.699 0.938
Tm 0.500 0.500 0.500
Tl 0.500 0.693 0.307
Tl 0.500 0.307 0.693

Calculated values
- E_form: 375 meV per atom
- SG: Cmmm (65)

(11)
This record from the Alexandria database describes crystalline InGaGe2 at its relaxed geometry. The functional is GGA-PBE.

abc: 3.432 3.432 7.271
angles: 90.00 90.00 90.00
Sites, in units of the cell vectors:
Ge 0.000 0.000 0.798
Ge 0.000 0.000 0.202
Ga 0.500 0.500 0.000
In 0.500 0.500 0.500

Calculated values
- ΔE to the lowest computed polymorph: 0.006 eV/atom
- E_form: 174 meV per atom
- SG: P4/mmm (123)